Entry 1:
# LiBe3Nb PBE-GGA relaxed
# energy of formation from the pure elements: 1391 meV/atom
# E_tot: -3.2416 eV per atom
# energy relative to the lowest polymorph listed for this composition: 983 meV/atom
# total magnetization: 0.76 Bohr magnetons per cell
data_LiBe3Nb
_symmetry_space_group_name_H-M 'P m -3 m'
_symmetry_Int_Tables_number 221
_symmetry_space_group_name_Hall '-P 4 2 3'
_cell_length_a 4.5982
_cell_length_b 4.5982
_cell_length_c 4.5982
_cell_angle_alpha 90.00
_cell_angle_beta 90.00
_cell_angle_gamma 90.00
loop_
_atom_site_label
_atom_site_fract_x
_atom_site_fract_y
_atom_site_fract_z
Li1 0.0000 0.0000 0.0000
Be1 0.0000 0.5000 0.5000
Nb1 0.5000 0.5000 0.5000

Entry 2:
# Zr5ScGa4 PBE-GGA relaxed
# energy of formation from the pure elements: -120 meV/atom
# E_tot: -6.2376 eV per atom
# total magnetization: 0.00 Bohr magnetons per cell
data_Zr5ScGa4
_symmetry_space_group_name_H-M 'P m m n'
_symmetry_Int_Tables_number 59
_cell_length_a 7.0821
_cell_length_b 8.2502
_cell_length_c 7.4266
_cell_angle_alpha 90.00
_cell_angle_beta 90.00
_cell_angle_gamma 90.00
loop_
_symmetry_equiv_pos_as_xyz
'x,y,z'
'-x,-y,-z'
'-x+1/2,-y+1/2,z'
'x+1/2,y+1/2,-z'
'x+1/2,-y,-z'
'-x+1/2,y,z'
'-x,y+1/2,-z'
'x,-y+1/2,z'
loop_
_atom_site_label
_atom_site_fract_x
_atom_site_fract_y
_atom_site_fract_z
Zr1 0.0019 0.0665 0.2197
Zr2 0.2500 0.7500 0.4411
Sc1 0.2500 0.2500 0.8565
Ga1 0.0893 0.7500 0.0855
Ga2 0.2500 0.0907 0.5223

Entry 3:
# AcPuAl2O8 PBE-GGA relaxed
# formation energy without anion corrections: -2552 meV/atom
# E_tot: -8.0179 eV per atom
# total magnetization: 1.94 Bohr magnetons per cell
data_AcPuAl2O8
_symmetry_space_group_name_H-M 'I -4 m 2'
_symmetry_Int_Tables_number 119
_symmetry_space_group_name_Hall 'I -4 -2'
_cell_length_a 7.1445
_cell_length_b 7.1445
_cell_length_c 6.5257
_cell_angle_alpha 90.00
_cell_angle_beta 90.00
_cell_angle_gamma 90.00
loop_
_atom_site_label
_atom_site_fract_x
_atom_site_fract_y
_atom_site_fract_z
Ac1 0.0000 0.0000 0.0000
Pu1 0.0000 0.5000 0.7500
Al1 0.0000 0.0000 0.5000
Al2 0.0000 0.5000 0.2500
O1 0.0000 0.2010 0.6680
O2 0.0000 0.3326 0.0516

Table of N(E_F) (states/eV/cell), in record order: 5.5, 13.6, 13.4